# AcCe4Rh4

AcCe4Rh4 after structural relaxation (PBE, the Alexandria database). Values from VASP.

The structure in Quantum ESPRESSO input format:
```
&SYSTEM
  ibrav = 0, nat = 18, ntyp = 3
/
ATOMIC_SPECIES
Ac 227.00 Ac.upf
Ce 140.12 Ce.upf
Rh 102.91 Rh.upf
CELL_PARAMETERS angstrom
9.1724 0.0000 0.0000
0.0000 9.1724 0.0000
0.0000 0.0000 5.6248
ATOMIC_POSITIONS crystal
Ac 0.2500 0.2500 0.2500
Ac 0.7500 0.7500 0.7500
Ce 0.0708 0.6507 0.1966
Ce 0.1507 0.9292 0.6966
Ce 0.3493 0.5708 0.6966
Ce 0.4292 0.8493 0.1966
Ce 0.5708 0.1507 0.8034
Ce 0.6507 0.4292 0.3034
Ce 0.8493 0.0708 0.3034
Ce 0.9292 0.3493 0.8034
Rh 0.0541 0.6204 0.6911
Rh 0.1204 0.9459 0.1911
Rh 0.3796 0.5541 0.1911
Rh 0.4459 0.8796 0.6911
Rh 0.5541 0.1204 0.3089
Rh 0.6204 0.4459 0.8089
Rh 0.8796 0.0541 0.8089
Rh 0.9459 0.3796 0.3089
```

Energy ... -6.98 eV per atom
Space group ... P4_2/n (86)

***

# ZnSnO3

ZnSnO3 after structural relaxation (PBE, the Alexandria database). Values from VASP.

The structure in Quantum ESPRESSO input format:
```
&SYSTEM
  ibrav = 0, nat = 10, ntyp = 3
/
ATOMIC_SPECIES
Zn 65.41 Zn.upf
Sn 118.71 Sn.upf
O 16.00 O.upf
CELL_PARAMETERS angstrom
2.6744 1.5441 4.7420
-2.6744 1.5441 4.7420
0.0000 -3.0881 4.7420
ATOMIC_POSITIONS crystal
Zn 0.0000 0.0000 0.0000
Zn 0.5000 0.5000 0.5000
Sn 0.2823 0.2823 0.2823
Sn 0.7823 0.7823 0.7823
O 0.0716 0.3914 0.6771
O 0.1771 0.8914 0.5716
O 0.3914 0.6771 0.0716
O 0.5716 0.1771 0.8914
O 0.6771 0.0716 0.3914
O 0.8914 0.5716 0.1771
```

ΔE_f (raw) ... -1.518 eV/atom
Space group ... R3c (161)

***

# Li2PaS4

Li2PaS4 after structural relaxation (PBE, the Alexandria database). Values from VASP.

The structure in Quantum ESPRESSO input format:
```
&SYSTEM
  ibrav = 0, nat = 14, ntyp = 3
/
ATOMIC_SPECIES
Li 6.94 Li.upf
Pa 231.04 Pa.upf
S 32.06 S.upf
CELL_PARAMETERS angstrom
-4.1457 4.1457 3.8924
4.1457 -4.1457 3.8924
4.1457 4.1457 -3.8924
ATOMIC_POSITIONS crystal
Li 0.3750 0.1235 0.2485
Li 0.8735 0.6250 0.7485
Li 0.8750 0.1265 0.7515
Li 0.8765 0.1250 0.2515
Pa 0.2500 0.7500 0.5000
Pa 0.5000 0.5000 0.0000
S 0.1233 0.4445 0.6808
S 0.1924 0.0137 0.8192
S 0.1945 0.3733 0.1808
S 0.5555 0.2363 0.6788
S 0.5576 0.8767 0.3212
S 0.6267 0.8076 0.8212
S 0.7637 0.4424 0.3192
S 0.9863 0.8055 0.1788
```

ΔE_f (raw) ... -1.258 eV/atom
Relative energy among the computed polymorphs ... 0 meV/atom
Space group ... I-42d (122)

***

Looking at total magnetic moment for the records above, in order, we have 0.210; 0.000; 0.000 μB per atom.
Looking at density for the records above, in order, we have 8.4; 6.6; 4.6 Mg/m³.